1.
MnGePSN | PBE | relaxed

Cell: 3.819 2.851 7.300 Å, 90.00 99.99 90.00°
Atoms (fractional coordinates):
Mn1 0.965 0.500 0.771
N1 0.496 0.500 0.876
Ge1 0.383 0.000 0.288
P1 0.708 0.000 0.993
S1 0.922 0.000 0.528

Calculated values
Space-group type ... No. 6
Relative energy among the computed polymorphs ... 111 meV/atom
Uncorrected formation energy ... -49 meV/atom


2.
LiGe2Au8 | PBE | relaxed

Cell: 3.913 6.776 7.957 Å, 104.98 104.23 90.00°
Atoms (fractional coordinates):
Au1 0.321 0.099 0.642
Au2 0.127 0.157 0.255
Au3 0.604 0.448 0.207
Au4 0.679 0.901 0.358
Ge1 0.221 0.659 0.443
Au5 0.396 0.552 0.793
Au6 0.873 0.843 0.745
Au7 0.963 0.279 0.927
Ge2 0.779 0.341 0.557
Li1 0.500 0.000 0.000
Au8 0.037 0.721 0.073

Calculated values
Formation energy from the elements ... -9 kJ per mole of atoms
Space-group type ... No. 12
Relative energy among the computed polymorphs ... 0 meV/atom


3.
Nd12Co6Sn | PBE | relaxed

Cell: 8.673 8.673 8.673 Å, 109.47 109.47 109.47°
Atoms (fractional coordinates):
Nd1 0.694 0.887 0.193
Nd2 0.694 0.502 0.807
Nd3 0.306 0.498 0.193
Nd4 0.807 0.694 0.502
Co1 0.111 0.611 0.500
Nd5 0.887 0.193 0.694
Nd6 0.502 0.807 0.694
Co2 0.889 0.389 0.500
Nd7 0.807 0.306 0.113
Co3 0.611 0.500 0.111
Nd8 0.306 0.113 0.807
Nd9 0.498 0.193 0.306
Nd10 0.113 0.807 0.306
Sn1 0.000 0.000 0.000
Co4 0.389 0.500 0.889
Nd11 0.193 0.694 0.887
Co5 0.500 0.111 0.611
Nd12 0.193 0.306 0.498
Co6 0.500 0.889 0.389

Calculated values
Formation energy from the elements ... -17 kJ per mole of atoms
Space-group type ... No. 204


no.,mass density (g/cm³),N(E_F) (states/eV per atom)
1,4.3,0.275
2,14.6,0.243
3,7.3,0.615